Record 1
Dy3Er7: optimized geometry, PBE.

Structure (POSCAR):
```
Dy3Er7
1.0
-1.447 3.788 -4.888
-9.835 1.267 3.894
7.774 6.690 2.883
Dy Er
6 14
direct
0.867 0.207 0.414
0.867 0.207 0.793
0.867 0.586 0.793
0.367 0.793 0.586
0.367 0.793 0.207
0.367 0.414 0.207
0.013 0.667 0.333
0.513 0.333 0.667
0.884 0.880 0.759
0.884 0.880 0.120
0.884 0.241 0.120
0.384 0.120 0.241
0.384 0.120 0.880
0.384 0.759 0.880
0.214 0.471 0.942
0.214 0.471 0.529
0.214 0.058 0.529
0.714 0.529 0.058
0.714 0.529 0.471
0.714 0.942 0.471
```

Polymorph energy (0 for the lowest one), meV per atom: 180
Fermi-level density of states, states/eV per cell: 37.972
Final energy, eV/atom: -4.376
Symmetry: P6_3mc (186)
ΔH_f (0 K), meV/atom: 199

=====

Record 2
Dy2Er: optimized geometry, PBE.

Structure (POSCAR):
```
Dy2Er
1.0
4.975 0.000 0.000
-2.488 5.262 -1.823
0.000 0.083 7.044
Dy Er
4 2
direct
0.833 0.666 0.416
0.500 0.001 0.750
0.500 0.999 0.250
0.167 0.334 0.584
0.167 0.333 0.083
0.833 0.667 0.917
```

Polymorph energy (0 for the lowest one), meV per atom: 14
Fermi-level density of states, states/eV per cell: 8.176
Final energy, eV/atom: -4.570
Symmetry: C2/m (12)
ΔH_f (0 K), meV/atom: 19

=====

Record 3
DyEr4: optimized geometry, PBE.

Structure (POSCAR):
```
DyEr4
1.0
5.558 0.000 0.000
0.000 5.558 0.000
0.000 0.000 5.558
Er Dy
4 1
direct
0.000 0.000 0.000
0.500 0.000 0.500
0.000 0.500 0.500
0.500 0.500 0.000
0.500 0.500 0.500
```

Polymorph energy (0 for the lowest one), meV per atom: 724
Fermi-level density of states, states/eV per cell: 6.942
Final energy, eV/atom: -3.823
Symmetry: Pm-3m (221)
ΔH_f (0 K), meV/atom: 747